# 1
Computed, not measured: a relaxed structure of RbPaReN4 at the PBE-GGA level of DFT.

Unit cell a=6.1148 b=5.8555 c=8.0001 alpha=90.00 beta=106.25 gamma=90.00
Last column: nearest neighbours and their distance in Å.
Sites, in units of the cell vectors:
Rb1 0.2082 0.2500 0.4317  4 N 2.90-3.22
Rb2 0.7918 0.7500 0.5683  4 N 2.90-3.22
Pa1 0.2965 0.2500 0.9517  6 N 2.29-2.43
Pa2 0.7035 0.7500 0.0483  6 N 2.29-2.43
Re1 0.2394 0.7500 0.1464  4 N 1.79-1.91
Re2 0.7606 0.2500 0.8536  4 N 1.79-1.91
N1 0.0336 0.7500 0.9368  1 Re 1.79
N2 0.0436 0.7500 0.2820  1 Re 1.83
N3 0.4577 0.5126 0.1613  1 Re 1.91
N4 0.4577 0.9874 0.1613  1 Re 1.91
N5 0.5423 0.0126 0.8387  1 Re 1.91
N6 0.5423 0.4874 0.8387  1 Re 1.91
N7 0.9564 0.2500 0.7180  1 Re 1.83
N8 0.9664 0.2500 0.0632  1 Re 1.79

Properties
For the final energy, the calculation gives -8.668 eV per atom. As for the symmetry: No. 11. Its density is 6.75 Mg/m³. The calculation puts the energy relative to the elements, uncorrected at -0.637 eV/atom.


# 2
Computed, not measured: a relaxed structure of Ba2TlPb2 at the PBE-GGA level of DFT.

Unit cell a=5.9216 b=5.9216 c=13.4640 alpha=90.00 beta=90.00 gamma=90.00
Last column: nearest neighbours and their distance in Å.
Sites, in units of the cell vectors:
Ba1 0.0000 0.5000 0.2500  4 Pb 3.55
Ba2 0.0000 0.5000 0.7500  4 Pb 3.55
Ba3 0.5000 0.0000 0.2500  4 Pb 3.55
Ba4 0.5000 0.0000 0.7500  4 Pb 3.55
Tl1 0.0000 0.0000 0.0000  8 Pb 4.42, 8 Ba 4.48
Tl2 0.5000 0.5000 0.5000  8 Pb 4.42, 8 Ba 4.48
Pb1 0.0000 0.0000 0.3949  1 Pb 2.83
Pb2 0.0000 0.0000 0.6051  1 Pb 2.83
Pb3 0.5000 0.5000 0.1051  1 Pb 2.83
Pb4 0.5000 0.5000 0.8949  1 Pb 2.83

Properties
For the final energy, the calculation gives -2.805 eV per atom. As for the symmetry: No. 139. The value obtained for the energy relative to the lowest polymorph listed for this composition is 0.391 eV/atom. Its density is 6.28 Mg/m³. For the formation energy, the calculation gives -38 kJ/mol of formula units.


# 3
Computed, not measured: a relaxed structure of Tc3Hg at the PBE-GGA level of DFT.

Unit cell a=4.6299 b=4.6299 c=2.9922 alpha=90.00 beta=90.00 gamma=90.00
Last column: nearest neighbours and their distance in Å.
Sites, in units of the cell vectors:
Tc1 0.0000 0.0000 0.0000  10 Tc 2.76-2.99
Tc2 0.0000 0.5000 0.5000  4 Hg 2.76, 6 Tc 2.76-2.99
Tc3 0.5000 0.0000 0.5000  4 Hg 2.76, 6 Tc 2.76-2.99
Hg1 0.5000 0.5000 0.0000  8 Tc 2.76, 2 Hg 2.99

Properties
For the final energy, the calculation gives -7.135 eV per atom. As for the symmetry: No. 123. The value obtained for the energy relative to the lowest polymorph listed for this composition is 0.418 eV/atom. Its density is 12.80 Mg/m³. For the formation energy, the calculation gives 276 kJ/mol of formula units.


# 4
Computed, not measured: a relaxed structure of TlCuW2 at the PBE-GGA level of DFT.

Unit cell a=9.4641 b=2.7801 c=5.2085 alpha=90.00 beta=95.97 gamma=90.00
Last column: nearest neighbours and their distance in Å.
Sites, in units of the cell vectors:
Tl1 0.0000 0.0000 0.0000  3 Cu 2.72-2.93, 2 Tl 2.78, 5 W 2.92-2.99
Tl2 0.5000 0.5000 0.0000  3 Cu 2.72-2.93, 2 Tl 2.78, 5 W 2.92-2.99
Cu1 0.2548 0.5000 0.2296  3 Tl 2.72-2.93, 2 Cu 2.78, 5 W 2.80-2.94
Cu2 0.7548 0.0000 0.2296  3 Tl 2.72-2.93, 2 Cu 2.78, 5 W 2.80-2.94
W1 0.2480 0.0000 0.6951  5 W 2.66-2.88, 2 Cu 2.80, 1 Tl 2.97
W2 0.4947 0.0000 0.4917  5 W 2.66-2.88, 3 Cu 2.88-2.94, 2 Tl 2.92
W3 0.7480 0.5000 0.6951  5 W 2.66-2.88, 2 Cu 2.80, 1 Tl 2.97
W4 0.9947 0.5000 0.4917  5 W 2.66-2.88, 3 Cu 2.88-2.94, 2 Tl 2.92

Properties
For the final energy, the calculation gives -7.325 eV per atom. As for the symmetry: No. 8. The value obtained for the energy relative to the lowest polymorph listed for this composition is 0.218 eV/atom. Its density is 15.49 Mg/m³. For the formation energy, the calculation gives 296 kJ/mol of formula units.


# 5
Computed, not measured: a relaxed structure of LiCaNiSe2 at the PBE-GGA level of DFT.

Unit cell a=4.8884 b=4.8884 c=4.2235 alpha=90.00 beta=90.00 gamma=90.00
Last column: nearest neighbours and their distance in Å.
Sites, in units of the cell vectors:
Li1 0.0000 0.0000 0.0000  2 Ni 2.11
Ca1 0.5000 0.5000 0.0000  8 Se 3.23, 4 Li 3.46
Ni1 0.0000 0.0000 0.5000  2 Li 2.11
Se1 0.0000 0.5000 0.5000  2 Ni 2.44
Se2 0.5000 0.0000 0.5000  2 Ni 2.44

Properties
For the final energy, the calculation gives -4.072 eV per atom. As for the symmetry: No. 123. Its density is 4.34 Mg/m³. The calculation puts the energy relative to the elements, uncorrected at -0.738 eV/atom.


# 6
Computed, not measured: a relaxed structure of CrMoRh5 at the PBE-GGA level of DFT.

Unit cell a=5.3238 b=5.3238 c=8.9749 alpha=103.75 beta=103.75 gamma=63.01
Last column: nearest neighbours and their distance in Å.
Sites, in units of the cell vectors:
Cr1 0.0000 0.5000 0.0000  8 Rh 2.60-2.74
Cr2 0.5000 0.0000 0.5000  8 Rh 2.60-2.74
Mo1 0.1241 0.8759 0.7500  5 Rh 2.41-2.52
Mo2 0.8759 0.1241 0.2500  5 Rh 2.41-2.52
Rh1 0.1749 0.3150 0.7310  1 Mo 2.52, 2 Cr 2.60-2.74, 7 Rh 2.64-2.81
Rh2 0.2319 0.5595 0.5095  1 Mo 2.41, 2 Rh 2.64-2.67, 1 Cr 2.65
Rh3 0.3150 0.1749 0.2310  1 Mo 2.52, 2 Cr 2.60-2.74, 7 Rh 2.64-2.81
Rh4 0.3264 0.6736 0.2500  1 Mo 2.51, 6 Rh 2.65-2.75, 2 Cr 2.74
Rh5 0.4405 0.7681 0.9905  1 Mo 2.41, 2 Rh 2.64-2.67, 1 Cr 2.65
Rh6 0.5595 0.2319 0.0095  1 Mo 2.41, 2 Rh 2.64-2.67, 1 Cr 2.65
Rh7 0.6736 0.3264 0.7500  1 Mo 2.51, 6 Rh 2.65-2.75, 2 Cr 2.74
Rh8 0.6850 0.8251 0.7690  1 Mo 2.52, 2 Cr 2.60-2.74, 7 Rh 2.64-2.81
Rh9 0.7681 0.4405 0.4905  1 Mo 2.41, 2 Rh 2.64-2.67, 1 Cr 2.65
Rh10 0.8251 0.6850 0.2690  1 Mo 2.52, 2 Cr 2.60-2.74, 7 Rh 2.64-2.81

Properties
For the final energy, the calculation gives -8.041 eV per atom. As for the symmetry: No. 15. Its density is 10.11 Mg/m³. For the formation energy, the calculation gives 90 kJ/mol of formula units.


Look up the final energy of the fourth one. -7.325 eV per atom


Which formula does entry 3 have? Tc3Hg


Please write out number 5 again, unchanged.
Computed, not measured: a relaxed structure of LiCaNiSe2 at the PBE-GGA level of DFT.

Unit cell a=4.8884 b=4.8884 c=4.2235 alpha=90.00 beta=90.00 gamma=90.00
Last column: nearest neighbours and their distance in Å.
Sites, in units of the cell vectors:
Li1 0.0000 0.0000 0.0000  2 Ni 2.11
Ca1 0.5000 0.5000 0.0000  8 Se 3.23, 4 Li 3.46
Ni1 0.0000 0.0000 0.5000  2 Li 2.11
Se1 0.0000 0.5000 0.5000  2 Ni 2.44
Se2 0.5000 0.0000 0.5000  2 Ni 2.44

Properties
For the final energy, the calculation gives -4.072 eV per atom. As for the symmetry: No. 123. Its density is 4.34 Mg/m³. The calculation puts the energy relative to the elements, uncorrected at -0.738 eV/atom.